Record 1
Mg4GeAu2 after structural relaxation, computed with GGA-PBE.

Properties
- DFT total energy (eV/atom) = -2.91
- space-group type = R-3m
- ΔE_f (eV/atom) = -0.40
- V (Å³/f.u.) = 142
- total magnetization (μB per cell) = 0.0
- DOS at the Fermi energy (states/eV/f.u.) = 2.09

Cell and atoms, written as POSCAR:
```
Mg4GeAu2
1.0
-0.4356 -0.0392 4.5729
1.9431 -3.3552 2.4637
6.9851 3.1029 2.9993
Mg Au Ge
4 2 1
direct
0.6216 0.6216 0.1352
0.1283 0.1283 0.6151
0.8717 0.8717 0.3849
0.3784 0.3784 0.8648
0.7543 0.7543 0.7370
0.2457 0.2457 0.2630
0.0000 0.0000 0.0000
```

Record 2
MgGeAu6 after structural relaxation, computed with GGA-PBE.

Properties
- DFT total energy (eV/atom) = -3.39
- offset from the most stable computed form (eV/atom) = 0.0000
- space-group type = Fmmm
- ΔE_f (eV/atom) = -0.15
- V (Å³/f.u.) = 146
- total magnetization (μB per cell) = 0.0
- DOS at the Fermi energy (states/eV/f.u.) = 1.57

Cell and atoms, written as POSCAR:
```
MgGeAu6
1.0
0.2966 -3.8011 5.9624
-3.6464 -4.7744 3.0424
2.5358 -4.2958 -0.3691
Au Ge Mg
6 1 1
direct
0.2541 0.2541 0.7459
0.1224 0.1224 0.3776
0.3776 0.3776 0.1224
0.8776 0.8776 0.6224
0.7459 0.7459 0.2541
0.6224 0.6224 0.8776
0.0000 0.0000 0.0000
0.5000 0.5000 0.5000
```

V of number 2 (MgGeAu6)?
146 Å³/f.u.